Compound: CaMn3P
Source: Alexandria via LeMat-Bulk
Functional: PBE-GGA
Structure: relaxed

Calculated total energy (eV/cell): -25.12
Calculated formation energy (kJ per mole of atoms): 189.08
Space-group type: Pm-3m (221)
Relative energy among the computed polymorphs (meV per atom): 1867
Calculated volume (Å³/cell): 108.7
Total magnetization (μB per formula unit): 11.1

abc: 4.772 4.772 4.772
angles: 90.00 90.00 90.00
Each line ends with the local moment (μB).
Element x y z (fractional)
Mn 0.500 0.000 0.000  3.95
Mn 0.000 0.000 0.500  3.25
Mn 0.000 0.500 0.000  3.59
Ca 0.000 0.000 0.000  -0.19
P 0.500 0.500 0.500  -0.03

Compound: CaMnP3
Source: Alexandria via LeMat-Bulk
Functional: PBE-GGA
Structure: relaxed

Calculated total energy (eV/cell): -27.76
Calculated formation energy (kJ per mole of atoms): -7.02
Space-group type: Pm-3m (221)
Relative energy among the computed polymorphs (meV per atom): 0
Calculated volume (Å³/cell): 91.3
Total magnetization (μB per formula unit): 0.0

abc: 4.503 4.503 4.503
angles: 90.00 90.00 90.00
Element x y z (fractional)
P 0.000 0.500 0.000
P 0.000 0.000 0.500
P 0.500 0.000 0.000
Mn 0.000 0.000 0.000
Ca 0.500 0.500 0.500

Compound: CaMnP2Pd
Source: Alexandria via LeMat-Bulk
Functional: PBE-GGA
Structure: relaxed

Calculated total energy (eV/cell): -30.70
Calculated formation energy (kJ per mole of atoms): -67.90
Space-group type: I-4m2 (119)
Calculated volume (Å³/cell): 78.6
Total magnetization (μB per formula unit): 0.0

abc: 3.982 3.982 5.702
angles: 110.44 110.44 90.00
Element x y z (fractional)
Pd 0.250 0.750 0.500
P 0.623 0.623 0.245
P 0.377 0.377 0.755
Ca 0.000 0.000 0.000
Mn 0.750 0.250 0.500

Compound: Ca3MnP2Pt9
Source: Alexandria via LeMat-Bulk
Functional: PBE-GGA
Structure: relaxed

Calculated total energy (eV/cell): -89.88
Calculated formation energy (kJ per mole of atoms): -61.21
Space-group type: P-3m1 (164)
Calculated volume (Å³/cell): 296.8
Total magnetization (μB per formula unit): 4.3

abc: 5.720 5.720 10.473
angles: 90.00 90.00 120.00
Each line ends with the local moment (μB).
Element x y z (fractional)
Pt 0.840 0.681 0.695  0.07
Pt 0.000 0.500 0.000  0.02
Pt 0.681 0.840 0.305  0.07
Pt 0.319 0.160 0.695  0.07
Pt 0.160 0.319 0.305  0.07
Pt 0.160 0.840 0.305  0.07
Pt 0.500 0.500 0.000  0.02
Pt 0.500 0.000 0.000  0.02
Pt 0.840 0.160 0.695  0.07
P 0.667 0.333 0.841  0.01
P 0.333 0.667 0.159  0.01
Mn 0.000 0.000 0.500  3.67
Ca 0.000 0.000 0.000  -0.01
Ca 0.667 0.333 0.416  -0.01
Ca 0.333 0.667 0.584  -0.01

Compound: Ca2MnP3Pt12
Source: Alexandria via LeMat-Bulk
Functional: PBE-GGA
Structure: relaxed

Calculated total energy (eV/cell): -108.20
Calculated formation energy (kJ per mole of atoms): -33.81
Space-group type: R-3m (166)
Calculated volume (Å³/cell): 349.6
Total magnetization (μB per formula unit): 4.1

abc: 7.640 7.640 7.640
angles: 64.97 64.97 64.97
Each line ends with the local moment (μB).
Element x y z (fractional)
Ca 0.393 0.393 0.393  0.00
Ca 0.607 0.607 0.607  0.00
Pt 0.126 0.126 0.626  0.06
Pt 0.655 0.101 0.655  0.00
Pt 0.101 0.655 0.655  0.00
Pt 0.626 0.126 0.126  0.06
Pt 0.899 0.345 0.345  0.00
Pt 0.126 0.626 0.126  0.06
Pt 0.874 0.874 0.374  0.06
Pt 0.874 0.374 0.874  0.06
Pt 0.345 0.899 0.345  0.00
Pt 0.345 0.345 0.899  0.00
Pt 0.655 0.655 0.101  0.00
Pt 0.374 0.874 0.874  0.06
P 0.000 0.000 0.500  -0.01
P 0.000 0.500 0.000  -0.01
P 0.500 0.000 0.000  -0.01
Mn 0.000 0.000 0.000  3.60

Compound: CaMnReP2
Source: Alexandria via LeMat-Bulk
Functional: PBE-GGA
Structure: relaxed

Calculated total energy (eV/cell): -37.65
Calculated formation energy (kJ per mole of atoms): -61.98
Space-group type: I-4m2 (119)
Calculated volume (Å³/cell): 81.8
Total magnetization (μB per formula unit): 2.4

abc: 3.968 3.968 5.903
angles: 109.64 109.64 90.00
Each line ends with the local moment (μB).
Element x y z (fractional)
P 0.629 0.629 0.257  -0.03
P 0.371 0.371 0.743  -0.03
Mn 0.250 0.750 0.500  2.29
Re 0.750 0.250 0.500  0.09
Ca 0.000 0.000 0.000  -0.01

Compound: CaMnP2Rh
Source: Alexandria via LeMat-Bulk
Functional: PBE-GGA
Structure: relaxed

Calculated total energy (eV/cell): -33.72
Calculated formation energy (kJ per mole of atoms): -84.44
Space-group type: I-4m2 (119)
Calculated volume (Å³/cell): 78.1
Total magnetization (μB per formula unit): 0.0

abc: 3.983 3.983 5.675
angles: 110.54 110.54 90.00
Element x y z (fractional)
Rh 0.250 0.750 0.500
Ca 0.000 0.000 0.000
Mn 0.750 0.250 0.500
P 0.368 0.368 0.736
P 0.632 0.632 0.264

Compound: Ca2MnP3Rh4
Source: Alexandria via LeMat-Bulk
Functional: PBE-GGA
Structure: relaxed

Calculated total energy (eV/cell): -66.98
Calculated formation energy (kJ per mole of atoms): -78.82
Space-group type: P-4m2 (115)
Calculated volume (Å³/cell): 164.6
Total magnetization (μB per formula unit): 3.6

abc: 4.040 4.040 10.085
angles: 90.00 90.00 90.00
Each line ends with the local moment (μB).
Element x y z (fractional)
Rh 0.500 0.000 0.640  0.05
Rh 0.000 0.000 0.000  -0.03
Rh 0.000 0.500 0.360  0.05
Rh 0.500 0.500 0.000  0.00
P 0.500 0.000 0.868  -0.01
P 0.000 0.000 0.500  -0.03
P 0.000 0.500 0.132  -0.01
Ca 0.000 0.500 0.750  0.00
Ca 0.500 0.000 0.250  0.00
Mn 0.500 0.500 0.500  3.39

Compound: CaMnP2S8
Source: Alexandria via LeMat-Bulk
Functional: PBE-GGA
Structure: relaxed

Calculated total energy (eV/cell): -60.86
Space-group type: P-3 (147)
Calculated volume (Å³/cell): 245.7
ΔE_f (raw) (eV/atom): -0.487
Total magnetization (μB per formula unit): 3.0

abc: 5.835 5.835 8.333
angles: 90.00 90.00 120.00
Each line ends with the local moment (μB).
Element x y z (fractional)
S 0.310 0.315 0.324  0.00
S 0.690 0.685 0.676  0.00
S 0.005 0.690 0.324  0.00
S 0.995 0.310 0.676  0.00
S 0.315 0.005 0.676  0.00
S 0.333 0.667 0.978  0.01
S 0.685 0.995 0.324  0.00
S 0.667 0.333 0.022  0.01
P 0.333 0.667 0.737  0.00
P 0.667 0.333 0.263  0.00
Ca 0.000 0.000 0.000  0.01
Mn 0.000 0.000 0.500  2.72

Compound: CaMn2PS
Source: Alexandria via LeMat-Bulk
Functional: PBE-GGA
Structure: relaxed

Calculated total energy (eV/cell): -28.80
Space-group type: P4/mmm (123)
Calculated volume (Å³/cell): 89.5
ΔE_f (raw) (eV/atom): 0.217
Total magnetization (μB per formula unit): 0.2

abc: 4.142 5.214 4.142
angles: 90.00 90.00 90.00
Each line ends with the local moment (μB).
Element x y z (fractional)
Ca 0.000 0.500 0.000  -0.01
S 0.000 0.000 0.000  -0.01
Mn 0.000 0.000 0.500  0.05
Mn 0.500 0.000 0.000  0.27
P 0.500 0.500 0.500  -0.05

Compound: CaMnSbP2
Source: Alexandria via LeMat-Bulk
Functional: PBE-GGA
Structure: relaxed

Calculated total energy (eV/cell): -20.52
Space-group type: P4/mmm (123)
Calculated volume (Å³/cell): 148.2
ΔE_f (raw) (eV/atom): 1.120
Total magnetization (μB per formula unit): 4.7

abc: 5.114 5.667 5.114
angles: 90.00 90.00 90.00
Each line ends with the local moment (μB).
Element x y z (fractional)
Mn 0.500 0.500 0.500  4.49
P 0.500 0.000 0.000  -0.02
P 0.000 0.000 0.500  -0.03
Ca 0.000 0.000 0.000  0.02
Sb 0.000 0.500 0.000  -0.06

Compound: Ca2MnSiP
Source: Alexandria via LeMat-Bulk
Functional: PBE-GGA
Structure: relaxed

Calculated total energy (eV/cell): -22.95
Space-group type: P4/mmm (123)
Calculated volume (Å³/cell): 124.4
ΔE_f (raw) (eV/atom): 0.212
Total magnetization (μB per formula unit): 2.2

abc: 5.432 4.216 5.432
angles: 90.00 90.00 90.00
Each line ends with the local moment (μB).
Element x y z (fractional)
P 0.000 0.500 0.000  -0.09
Ca 0.000 0.000 0.500  -0.01
Ca 0.500 0.000 0.000  0.02
Si 0.500 0.500 0.500  0.10
Mn 0.000 0.000 0.000  1.87

Compound: CaMnP2W
Source: Alexandria via LeMat-Bulk
Functional: PBE-GGA
Structure: relaxed

Calculated total energy (eV/cell): -21.75
Calculated formation energy (kJ per mole of atoms): 254.60
Space-group type: P4/mmm (123)
Calculated volume (Å³/cell): 117.6
Total magnetization (μB per formula unit): 2.3

abc: 4.871 4.957 4.871
angles: 90.00 90.00 90.00
Each line ends with the local moment (μB).
Element x y z (fractional)
W 0.000 0.500 0.000  1.76
Mn 0.500 0.500 0.500  0.14
Ca 0.000 0.000 0.000  0.05
P 0.000 0.000 0.500  -0.06
P 0.500 0.000 0.000  -0.06